# In12Au3Se5, relaxed, DFT PBE
data_In12Au3Se5
_chemical_formula_sum 'In48 Au12 Se20'
_cell_length_a 14.611
_cell_length_b 14.611
_cell_length_c 14.611
_cell_angle_alpha 109.47
_cell_angle_beta 109.47
_cell_angle_gamma 109.47
_symmetry_space_group_name_H-M 'P 1'
_symmetry_Int_Tables_number 1
_symmetry_space_group_name_Hall 'P 1'
loop_
_atom_site_label
_atom_site_fract_x
_atom_site_fract_y
_atom_site_fract_z
_atom_site_occupancy
In1 0.167 0.087 0.732 1
In2 0.920 0.087 0.855 1
In3 0.268 0.413 0.833 1
In4 0.333 0.565 0.420 1
In5 0.167 0.080 0.935 1
In6 0.580 0.645 0.413 1
In7 0.087 0.167 0.232 1
In8 0.587 0.732 0.667 1
In9 0.333 0.768 0.413 1
In10 0.413 0.145 0.580 1
In11 0.855 0.268 0.435 1
In12 0.768 0.435 0.355 1
In13 0.268 0.855 0.935 1
In14 0.232 0.667 0.087 1
In15 0.732 0.145 0.065 1
In16 0.065 0.420 0.833 1
In17 0.413 0.268 0.333 1
In18 0.667 0.232 0.587 1
In19 0.645 0.580 0.913 1
In20 0.920 0.833 0.565 1
In21 0.855 0.587 0.920 1
In22 0.935 0.580 0.167 1
In23 0.355 0.420 0.087 1
In24 0.420 0.065 0.333 1
In25 0.913 0.080 0.645 1
In26 0.565 0.232 0.145 1
In27 0.435 0.667 0.080 1
In28 0.420 0.355 0.587 1
In29 0.145 0.413 0.080 1
In30 0.065 0.645 0.732 1
In31 0.145 0.732 0.565 1
In32 0.833 0.913 0.268 1
In33 0.080 0.913 0.145 1
In34 0.768 0.333 0.913 1
In35 0.667 0.435 0.580 1
In36 0.913 0.833 0.768 1
In37 0.645 0.065 0.232 1
In38 0.732 0.587 0.167 1
In39 0.935 0.355 0.268 1
In40 0.355 0.935 0.768 1
In41 0.565 0.333 0.920 1
In42 0.232 0.565 0.645 1
In43 0.080 0.167 0.435 1
In44 0.587 0.855 0.420 1
In45 0.833 0.920 0.065 1
In46 0.580 0.935 0.667 1
In47 0.435 0.768 0.855 1
In48 0.087 0.920 0.355 1
Au1 0.625 0.250 0.375 1
Au2 0.375 0.625 0.250 1
Au3 0.750 0.875 0.625 1
Au4 0.625 0.375 0.750 1
Au5 0.750 0.375 0.125 1
Au6 0.875 0.750 0.125 1
Au7 0.250 0.625 0.875 1
Au8 0.125 0.250 0.875 1
Au9 0.250 0.125 0.375 1
Au10 0.375 0.750 0.625 1
Au11 0.875 0.125 0.250 1
Au12 0.125 0.875 0.750 1
Se1 0.000 0.000 0.500 1
Se2 0.375 0.250 0.125 1
Se3 0.125 0.750 0.375 1
Se4 0.500 0.500 0.500 1
Se5 0.375 0.125 0.750 1
Se6 0.000 0.000 0.000 1
Se7 0.750 0.625 0.375 1
Se8 0.500 0.500 0.000 1
Se9 0.625 0.750 0.875 1
Se10 0.000 0.500 0.500 1
Se11 0.875 0.250 0.625 1
Se12 0.625 0.875 0.250 1
Se13 0.500 0.000 0.000 1
Se14 0.750 0.125 0.875 1
Se15 0.000 0.500 0.000 1
Se16 0.875 0.625 0.750 1
Se17 0.250 0.375 0.625 1
Se18 0.250 0.875 0.125 1
Se19 0.125 0.375 0.250 1
Se20 0.500 0.000 0.500 1
# - Formation energy (no corrections): -0.168 eV per atom
# - Crystal system: cubic

=====

# Ac2AlAg3Ge4, relaxed, DFT PBE
data_Ac2AlAg3Ge4
_chemical_formula_sum 'Ac2 Al1 Ag3 Ge4'
_cell_length_a 4.557
_cell_length_b 4.557
_cell_length_c 10.827
_cell_angle_alpha 90.00
_cell_angle_beta 90.00
_cell_angle_gamma 90.00
_symmetry_space_group_name_H-M 'P 1'
_symmetry_Int_Tables_number 1
_symmetry_space_group_name_Hall 'P 1'
loop_
_atom_site_label
_atom_site_fract_x
_atom_site_fract_y
_atom_site_fract_z
_atom_site_occupancy
Ge1 0.000 0.000 0.000 1
Ge2 0.500 0.500 0.000 1
Ge3 0.500 0.000 0.632 1
Ge4 0.000 0.500 0.368 1
Ac1 0.500 0.000 0.247 1
Ac2 0.000 0.500 0.753 1
Ag1 0.000 0.500 0.129 1
Ag2 0.500 0.000 0.871 1
Ag3 0.000 0.000 0.500 1
Al1 0.500 0.500 0.500 1
# - Raw total energy: -4.30 eV/atom
# - Crystal system: tetragonal

=====

# CaSc4Zn, relaxed, DFT PBE
data_CaSc4Zn
_chemical_formula_sum 'Ca1 Sc4 Zn1'
_cell_length_a 6.043
_cell_length_b 6.043
_cell_length_c 6.043
_cell_angle_alpha 60.00
_cell_angle_beta 60.00
_cell_angle_gamma 60.00
_symmetry_space_group_name_H-M 'P 1'
_symmetry_Int_Tables_number 1
_symmetry_space_group_name_Hall 'P 1'
loop_
_atom_site_label
_atom_site_fract_x
_atom_site_fract_y
_atom_site_fract_z
_atom_site_occupancy
Sc1 0.376 0.872 0.376 1
Sc2 0.376 0.376 0.872 1
Sc3 0.872 0.376 0.376 1
Sc4 0.376 0.376 0.376 1
Zn1 0.750 0.750 0.750 1
Ca1 0.000 0.000 0.000 1
# - Raw total energy: -4.47 eV/atom
# - Crystal system: cubic

=====

# YTlSe2, relaxed, DFT PBE
data_YTlSe2
_chemical_formula_sum 'Y1 Tl1 Se2'
_cell_length_a 4.172
_cell_length_b 4.172
_cell_length_c 8.252
_cell_angle_alpha 75.36
_cell_angle_beta 75.36
_cell_angle_gamma 60.00
_symmetry_space_group_name_H-M 'P 1'
_symmetry_Int_Tables_number 1
_symmetry_space_group_name_Hall 'P 1'
loop_
_atom_site_label
_atom_site_fract_x
_atom_site_fract_y
_atom_site_fract_z
_atom_site_occupancy
Tl1 0.498 0.498 0.506 1
Se1 0.068 0.068 0.795 1
Se2 0.266 0.266 0.201 1
Y1 0.667 0.667 0.998 1
# - Formation energy (no corrections): -1.379 eV per atom
# - Crystal system: trigonal

=====

# Ac2PdAu7, relaxed, DFT PBE
data_Ac2PdAu7
_chemical_formula_sum 'Ac2 Pd1 Au7'
_cell_length_a 4.288
_cell_length_b 4.288
_cell_length_c 12.619
_cell_angle_alpha 90.00
_cell_angle_beta 90.00
_cell_angle_gamma 90.00
_symmetry_space_group_name_H-M 'P 1'
_symmetry_Int_Tables_number 1
_symmetry_space_group_name_Hall 'P 1'
loop_
_atom_site_label
_atom_site_fract_x
_atom_site_fract_y
_atom_site_fract_z
_atom_site_occupancy
Au1 0.500 0.500 0.500 1
Au2 0.000 0.000 0.000 1
Au3 0.000 0.000 0.500 1
Au4 0.000 0.500 0.645 1
Au5 0.500 0.000 0.140 1
Au6 0.500 0.000 0.355 1
Au7 0.000 0.500 0.860 1
Pd1 0.500 0.500 0.000 1
Ac1 0.000 0.500 0.243 1
Ac2 0.500 0.000 0.757 1
# - Raw total energy: -4.17 eV/atom
# - Crystal system: tetragonal

=====

# Ho3Tl4BiSe8, relaxed, DFT PBE
data_Ho3Tl4BiSe8
_chemical_formula_sum 'Ho3 Tl4 Bi1 Se8'
_cell_length_a 8.416
_cell_length_b 9.146
_cell_length_c 8.416
_cell_angle_alpha 117.41
_cell_angle_beta 120.00
_cell_angle_gamma 90.00
_symmetry_space_group_name_H-M 'P 1'
_symmetry_Int_Tables_number 1
_symmetry_space_group_name_Hall 'P 1'
loop_
_atom_site_label
_atom_site_fract_x
_atom_site_fract_y
_atom_site_fract_z
_atom_site_occupancy
Tl1 0.500 0.000 0.000 1
Tl2 0.500 0.000 0.500 1
Tl3 0.000 0.000 0.000 1
Tl4 0.000 0.000 0.500 1
Se1 0.240 0.707 0.967 1
Se2 0.240 0.707 0.479 1
Se3 0.760 0.293 0.033 1
Se4 0.273 0.293 0.033 1
Se5 0.734 0.702 0.468 1
Se6 0.727 0.707 0.967 1
Se7 0.266 0.298 0.532 1
Se8 0.760 0.293 0.521 1
Bi1 0.000 0.500 0.000 1
Ho1 0.500 0.500 0.000 1
Ho2 0.000 0.500 0.500 1
Ho3 0.500 0.500 0.500 1
# - Formation energy (no corrections): -1.149 eV per atom
# - Crystal system: trigonal

=====

# CaVRu2, relaxed, DFT PBE
data_CaVRu2
_chemical_formula_sum 'Ca1 V1 Ru2'
_cell_length_a 4.472
_cell_length_b 4.472
_cell_length_c 4.472
_cell_angle_alpha 60.00
_cell_angle_beta 60.00
_cell_angle_gamma 60.00
_symmetry_space_group_name_H-M 'P 1'
_symmetry_Int_Tables_number 1
_symmetry_space_group_name_Hall 'P 1'
loop_
_atom_site_label
_atom_site_fract_x
_atom_site_fract_y
_atom_site_fract_z
_atom_site_occupancy
Ru1 0.750 0.750 0.750 1
Ru2 0.250 0.250 0.250 1
Ca1 0.000 0.000 0.000 1
V1 0.500 0.500 0.500 1
# - Excess energy over the best structure of this formula in the dataset: 221 meV/atom
# - Crystal system: cubic

=====

# Ce2Pd17, relaxed, DFT PBE
data_Ce2Pd17
_chemical_formula_sum 'Ce2 Pd17'
_cell_length_a 6.964
_cell_length_b 6.964
_cell_length_c 6.964
_cell_angle_alpha 82.12
_cell_angle_beta 82.12
_cell_angle_gamma 82.12
_symmetry_space_group_name_H-M 'P 1'
_symmetry_Int_Tables_number 1
_symmetry_space_group_name_Hall 'P 1'
loop_
_atom_site_label
_atom_site_fract_x
_atom_site_fract_y
_atom_site_fract_z
_atom_site_occupancy
Pd1 0.000 0.000 0.500 1
Pd2 0.308 0.692 0.000 1
Pd3 0.348 0.840 0.348 1
Pd4 0.348 0.348 0.840 1
Pd5 0.160 0.652 0.652 1
Pd6 0.000 0.308 0.692 1
Pd7 0.652 0.160 0.652 1
Pd8 0.652 0.652 0.160 1
Pd9 0.692 0.308 0.000 1
Pd10 0.500 0.000 0.000 1
Pd11 0.000 0.692 0.308 1
Pd12 0.899 0.899 0.899 1
Pd13 0.308 0.000 0.692 1
Pd14 0.000 0.500 0.000 1
Pd15 0.101 0.101 0.101 1
Pd16 0.692 0.000 0.308 1
Pd17 0.840 0.348 0.348 1
Ce1 0.326 0.326 0.326 1
Ce2 0.674 0.674 0.674 1
# - Raw total energy: -5.58 eV/atom
# - Crystal system: trigonal

=====

# AcDyBi2, relaxed, DFT PBE
data_AcDyBi2
_chemical_formula_sum 'Ac2 Dy2 Bi4'
_cell_length_a 4.653
_cell_length_b 4.653
_cell_length_c 15.413
_cell_angle_alpha 90.00
_cell_angle_beta 90.00
_cell_angle_gamma 120.00
_symmetry_space_group_name_H-M 'P 1'
_symmetry_Int_Tables_number 1
_symmetry_space_group_name_Hall 'P 1'
loop_
_atom_site_label
_atom_site_fract_x
_atom_site_fract_y
_atom_site_fract_z
_atom_site_occupancy
Dy1 0.000 0.000 0.500 1
Dy2 0.000 0.000 0.000 1
Bi1 0.667 0.333 0.612 1
Bi2 0.333 0.667 0.388 1
Bi3 0.667 0.333 0.888 1
Bi4 0.333 0.667 0.112 1
Ac1 0.667 0.333 0.250 1
Ac2 0.333 0.667 0.750 1
# - Excess energy over the best structure of this formula in the dataset: 37 meV/atom
# - Crystal system: hexagonal

=====

# CrHRuW2, relaxed, DFT PBE
data_CrHRuW2
_chemical_formula_sum 'Cr1 H1 Ru1 W2'
_cell_length_a 3.979
_cell_length_b 3.979
_cell_length_c 3.821
_cell_angle_alpha 90.00
_cell_angle_beta 90.00
_cell_angle_gamma 90.00
_symmetry_space_group_name_H-M 'P 1'
_symmetry_Int_Tables_number 1
_symmetry_space_group_name_Hall 'P 1'
loop_
_atom_site_label
_atom_site_fract_x
_atom_site_fract_y
_atom_site_fract_z
_atom_site_occupancy
W1 0.500 0.000 0.000 1
W2 0.000 0.500 0.000 1
H1 0.000 0.000 0.000 1
Cr1 0.000 0.000 0.500 1
Ru1 0.500 0.500 0.500 1
# - Raw total energy: -9.44 eV/atom
# - Crystal system: tetragonal

=====

# Ce2FeGe2H4, relaxed, DFT PBE
data_Ce2FeGe2H4
_chemical_formula_sum 'Ce2 Fe1 Ge2 H4'
_cell_length_a 5.458
_cell_length_b 5.458
_cell_length_c 5.458
_cell_angle_alpha 98.67
_cell_angle_beta 115.12
_cell_angle_gamma 115.12
_symmetry_space_group_name_H-M 'P 1'
_symmetry_Int_Tables_number 1
_symmetry_space_group_name_Hall 'P 1'
loop_
_atom_site_label
_atom_site_fract_x
_atom_site_fract_y
_atom_site_fract_z
_atom_site_occupancy
Ce1 0.500 0.750 0.250 1
Ce2 0.500 0.250 0.750 1
H1 0.000 0.804 0.196 1
H2 0.000 0.196 0.804 1
H3 0.608 0.804 0.804 1
H4 0.392 0.196 0.196 1
Ge1 0.000 0.670 0.670 1
Ge2 0.000 0.330 0.330 1
Fe1 0.000 0.000 0.000 1
# - Raw total energy: -4.97 eV/atom
# - Crystal system: tetragonal

=====

# CaNi2MoPd, relaxed, DFT PBE
data_CaNi2MoPd
_chemical_formula_sum 'Ca1 Ni2 Mo1 Pd1'
_cell_length_a 4.702
_cell_length_b 4.926
_cell_length_c 4.702
_cell_angle_alpha 90.00
_cell_angle_beta 90.00
_cell_angle_gamma 90.00
_symmetry_space_group_name_H-M 'P 1'
_symmetry_Int_Tables_number 1
_symmetry_space_group_name_Hall 'P 1'
loop_
_atom_site_label
_atom_site_fract_x
_atom_site_fract_y
_atom_site_fract_z
_atom_site_occupancy
Ni1 0.000 0.000 0.500 1
Ni2 0.500 0.000 0.000 1
Ca1 0.000 0.500 0.000 1
Pd1 0.000 0.000 0.000 1
Mo1 0.500 0.500 0.500 1
# - Excess energy over the best structure of this formula in the dataset: 287 meV/atom
# - Crystal system: tetragonal

=====

What did the eighth record say?
# Ce2Pd17, relaxed, DFT PBE
data_Ce2Pd17
_chemical_formula_sum 'Ce2 Pd17'
_cell_length_a 6.964
_cell_length_b 6.964
_cell_length_c 6.964
_cell_angle_alpha 82.12
_cell_angle_beta 82.12
_cell_angle_gamma 82.12
_symmetry_space_group_name_H-M 'P 1'
_symmetry_Int_Tables_number 1
_symmetry_space_group_name_Hall 'P 1'
loop_
_atom_site_label
_atom_site_fract_x
_atom_site_fract_y
_atom_site_fract_z
_atom_site_occupancy
Pd1 0.000 0.000 0.500 1
Pd2 0.308 0.692 0.000 1
Pd3 0.348 0.840 0.348 1
Pd4 0.348 0.348 0.840 1
Pd5 0.160 0.652 0.652 1
Pd6 0.000 0.308 0.692 1
Pd7 0.652 0.160 0.652 1
Pd8 0.652 0.652 0.160 1
Pd9 0.692 0.308 0.000 1
Pd10 0.500 0.000 0.000 1
Pd11 0.000 0.692 0.308 1
Pd12 0.899 0.899 0.899 1
Pd13 0.308 0.000 0.692 1
Pd14 0.000 0.500 0.000 1
Pd15 0.101 0.101 0.101 1
Pd16 0.692 0.000 0.308 1
Pd17 0.840 0.348 0.348 1
Ce1 0.326 0.326 0.326 1
Ce2 0.674 0.674 0.674 1
# - Raw total energy: -5.58 eV/atom
# - Crystal system: trigonal